Ca3RhI3 | GGA-PBE | optimized geometry

a b c (Å): 10.7147 10.7147 10.7147
angles (deg): 109.47 109.47 109.47
Fractional coordinates of all 28 atoms:
Ca 0.0175 0.0350 0.2675
Ca 0.0175 0.4825 0.7500
Ca 0.0350 0.2675 0.0175
Ca 0.2325 0.2675 0.7500
Ca 0.2325 0.4650 0.4825
Ca 0.2675 0.0175 0.0350
Ca 0.2675 0.7500 0.2325
Ca 0.4650 0.4825 0.2325
Ca 0.4825 0.2325 0.4650
Ca 0.4825 0.7500 0.0175
Ca 0.7500 0.0175 0.4825
Ca 0.7500 0.2325 0.2675
Rh 0.0000 0.2500 0.5000
Rh 0.2500 0.2500 0.2500
Rh 0.2500 0.5000 0.0000
Rh 0.5000 0.0000 0.2500
I 0.2500 0.7534 0.7466
I 0.2500 0.9966 0.5034
I 0.5034 0.2500 0.9966
I 0.5034 0.7534 0.5069
I 0.5069 0.5034 0.7534
I 0.7466 0.2500 0.7534
I 0.7466 0.9966 0.9931
I 0.7534 0.5069 0.5034
I 0.7534 0.7466 0.2500
I 0.9931 0.7466 0.9966
I 0.9966 0.5034 0.2500
I 0.9966 0.9931 0.7466

Properties
Formation energy (no corrections) in kJ/mol of atoms: -106
E_tot in eV/atom: -3.671
Magnetic moment in Bohr magnetons per cell: 0.44
Space group: I4_132, No. 214
Crystal system: cubic

***

Ce2TiGe4Pt3 | GGA-PBE | optimized geometry

a b c (Å): 4.2672 4.2672 10.6632
angles (deg): 90.00 90.00 90.00
Fractional coordinates of all 10 atoms:
Ce 0.0000 0.5000 0.2434
Ce 0.5000 0.0000 0.7566
Ti 0.0000 0.0000 0.5000
Ge 0.0000 0.0000 0.0000
Ge 0.0000 0.5000 0.6397
Ge 0.5000 0.0000 0.3603
Ge 0.5000 0.5000 0.0000
Pt 0.0000 0.5000 0.8733
Pt 0.5000 0.0000 0.1267
Pt 0.5000 0.5000 0.5000

Properties
E_tot in eV/atom: -6.516
Magnetic moment in Bohr magnetons per cell: 1.41
Fermi-level density of states in states/eV/f.u.: 12.83
Space group: P-4m2, No. 115
Crystal system: tetragonal
Formation energy from the elements in eV per atom: -0.881

***

VSiMoRu | GGA-PBE | optimized geometry

a b c (Å): 4.2599 4.2599 4.2599
angles (deg): 60.00 60.00 60.00
Fractional coordinates of all 4 atoms:
V 0.0000 0.0000 0.0000
Si 0.5000 0.5000 0.5000
Mo 0.7500 0.7500 0.7500
Ru 0.2500 0.2500 0.2500

Properties
Formation energy (no corrections) in kJ/mol of atoms: -38
E_tot in eV/atom: -9.060
Magnetic moment in Bohr magnetons per cell: 0.00
Fermi-level density of states in states/eV/f.u.: 2.35
Space group: F-43m, No. 216
Crystal system: cubic

***

KSr | GGA-PBE | optimized geometry

a b c (Å): 12.1977 12.1977 12.1977
angles (deg): 90.00 90.00 90.00
Fractional coordinates of all 12 atoms:
K 0.0000 0.2500 0.5000
K 0.0000 0.7500 0.5000
K 0.2500 0.5000 0.0000
K 0.5000 0.0000 0.2500
K 0.5000 0.0000 0.7500
K 0.7500 0.5000 0.0000
Sr 0.0000 0.5000 0.2500
Sr 0.0000 0.5000 0.7500
Sr 0.2500 0.0000 0.5000
Sr 0.5000 0.2500 0.0000
Sr 0.5000 0.7500 0.0000
Sr 0.7500 0.0000 0.5000

Properties
E_tot in eV/atom: -0.666
Magnetic moment in Bohr magnetons per cell: 0.00
Fermi-level density of states in states/eV/f.u.: 1.88
Space group: Pm-3n, No. 223
Crystal system: cubic
Formation energy from the elements in eV per atom: 0.724

***

RbSnTe2N | GGA-PBE | optimized geometry

a b c (Å): 6.2988 6.2988 5.0055
angles (deg): 90.00 90.00 90.00
Fractional coordinates of all 5 atoms:
Rb 0.0000 0.0000 0.0000
Sn 0.5000 0.5000 0.5000
Te 0.0000 0.5000 0.0000
Te 0.5000 0.0000 0.0000
N 0.0000 0.0000 0.5000

Properties
Formation energy (no corrections) in kJ/mol of atoms: 132
E_tot in eV/atom: -2.544
Magnetic moment in Bohr magnetons per cell: 2.57
Fermi-level density of states in states/eV/f.u.: 6.02
Space group: P4/mmm, No. 123
Crystal system: tetragonal

***

NdBi3Rh | GGA-PBE | optimized geometry

a b c (Å): 9.8622 9.8622 6.6327
angles (deg): 109.07 109.07 85.42
Fractional coordinates of all 20 atoms:
Nd 0.0903 0.6590 0.9302
Nd 0.3410 0.9097 0.5698
Nd 0.6590 0.0903 0.4302
Nd 0.9097 0.3410 0.0698
Bi 0.0820 0.1563 0.6888
Bi 0.1563 0.0820 0.1888
Bi 0.1622 0.5982 0.4326
Bi 0.3394 0.4162 0.7986
Bi 0.4018 0.8378 0.0674
Bi 0.4162 0.3394 0.2986
Bi 0.5838 0.6606 0.7014
Bi 0.5982 0.1622 0.9326
Bi 0.6606 0.5838 0.2014
Bi 0.8378 0.4018 0.5674
Bi 0.8437 0.9180 0.8112
Bi 0.9180 0.8437 0.3112
Rh 0.1293 0.8707 0.7500
Rh 0.3844 0.6156 0.2500
Rh 0.6156 0.3844 0.7500
Rh 0.8707 0.1293 0.2500

Properties
E_tot in eV/atom: -5.171
Magnetic moment in Bohr magnetons per cell: 0.00
Fermi-level density of states in states/eV/f.u.: 3.12
Space group: C2/c, No. 15
Crystal system: monoclinic
Formation energy from the elements in eV per atom: -0.418

***

ZrH2PtN | GGA-PBE | optimized geometry

a b c (Å): 3.2944 3.2944 4.8723
angles (deg): 90.00 90.00 90.00
Fractional coordinates of all 5 atoms:
Zr 0.0000 0.0000 0.0000
H 0.0000 0.5000 0.5000
H 0.5000 0.0000 0.5000
Pt 0.5000 0.5000 0.5000
N 0.5000 0.5000 0.0000

Properties
E_tot in eV/atom: -6.242
Magnetic moment in Bohr magnetons per cell: 0.00
Fermi-level density of states in states/eV/f.u.: 1.30
Space group: P4/mmm, No. 123
Crystal system: tetragonal

***

ScRe3Ag | GGA-PBE | optimized geometry

a b c (Å): 4.7606 4.7606 4.7606
angles (deg): 90.00 90.00 90.00
Fractional coordinates of all 5 atoms:
Sc 0.0000 0.0000 0.0000
Re 0.0000 0.5000 0.5000
Re 0.5000 0.0000 0.5000
Re 0.5000 0.5000 0.0000
Ag 0.5000 0.5000 0.5000

Properties
E_tot in eV/atom: -6.764
Magnetic moment in Bohr magnetons per cell: 0.00
Fermi-level density of states in states/eV/f.u.: 9.12
Space group: Pm-3m, No. 221
Crystal system: cubic
Formation energy from the elements in eV per atom: 2.541

***

ScZnRuW2 | GGA-PBE | optimized geometry

a b c (Å): 4.6717 4.6717 4.5523
angles (deg): 90.00 90.00 90.00
Fractional coordinates of all 5 atoms:
Sc 0.0000 0.0000 0.0000
Zn 0.5000 0.5000 0.5000
Ru 0.0000 0.0000 0.5000
W 0.0000 0.5000 0.0000
W 0.5000 0.0000 0.0000

Properties
E_tot in eV/atom: -6.404
Magnetic moment in Bohr magnetons per cell: 0.66
Fermi-level density of states in states/eV/f.u.: 5.03
Space group: P4/mmm, No. 123
Crystal system: tetragonal
Formation energy from the elements in eV per atom: 2.154

***

Pm4Nd5Dy4 | GGA-PBE | optimized geometry

a b c (Å): 9.6193 9.6193 9.6193
angles (deg): 94.05 94.05 149.17
Fractional coordinates of all 13 atoms:
Pm 0.0767 0.6164 0.6931
Pm 0.3836 0.0767 0.4603
Pm 0.6164 0.9233 0.5397
Pm 0.9233 0.3836 0.3069
Nd 0.0000 0.0000 0.0000
Nd 0.3074 0.4604 0.7677
Nd 0.4604 0.6926 0.1530
Nd 0.5396 0.3074 0.8470
Nd 0.6926 0.5396 0.2323
Dy 0.1546 0.2318 0.3864
Dy 0.2318 0.8454 0.0772
Dy 0.7682 0.1546 0.9228
Dy 0.8454 0.7682 0.6136

Properties
E_tot in eV/atom: -4.697
Magnetic moment in Bohr magnetons per cell: 0.00
Fermi-level density of states in states/eV/f.u.: 18.21
Space group: I4/m, No. 87
Crystal system: tetragonal
Formation energy from the elements in eV per atom: 0.015

***

LaSb3W | GGA-PBE | optimized geometry

a b c (Å): 5.3007 5.3007 5.3007
angles (deg): 90.00 90.00 90.00
Fractional coordinates of all 5 atoms:
La 0.0000 0.0000 0.0000
Sb 0.0000 0.5000 0.5000
Sb 0.5000 0.0000 0.5000
Sb 0.5000 0.5000 0.0000
W 0.5000 0.5000 0.5000

Properties
Formation energy (no corrections) in kJ/mol of atoms: 18
E_tot in eV/atom: -5.866
Magnetic moment in Bohr magnetons per cell: 0.00
Fermi-level density of states in states/eV/f.u.: 5.42
Space group: Pm-3m, No. 221
Crystal system: cubic

***

CeSiO3 | GGA-PBE | optimized geometry

a b c (Å): 4.1465 5.2979 6.0287
angles (deg): 90.00 103.81 90.00
Fractional coordinates of all 10 atoms:
Ce 0.1675 0.2500 0.2895
Ce 0.8325 0.7500 0.7105
Si 0.4215 0.2500 0.8429
Si 0.5785 0.7500 0.1571
O 0.1596 0.7500 0.0972
O 0.3056 0.0069 0.6618
O 0.3056 0.4931 0.6618
O 0.6944 0.5069 0.3382
O 0.6944 0.9931 0.3382
O 0.8404 0.2500 0.9028

Properties
Formation energy (no corrections) in kJ/mol of atoms: -262
E_tot in eV/atom: -7.967
Magnetic moment in Bohr magnetons per cell: 0.96
Fermi-level density of states in states/eV/f.u.: 4.44
Space group: P2_1/m, No. 11
Crystal system: monoclinic